1.
The following is a PBE-GGA calculation of an optimized crystal structure of FeHg2As, from Alexandria.

Output
Spin magnetization, μB/cell: 2.90

```
FeHg2As
1.0
-5.521 0.292 -2.470
4.713 -2.417 -2.935
-0.864 -3.106 -0.915
Hg As Fe
2 1 1
direct
0.000 0.000 0.000
0.500 0.500 0.000
0.500 0.000 0.500
0.000 0.500 0.500
```

---

2.
The following is a PBE-GGA calculation of an optimized crystal structure of Ba2PuS3, from Alexandria.

Output
Raw formation energy, eV/atom: -1.85
Spin magnetization, μB/cell: 11.81

```
Ba2PuS3
1.0
6.196 0.000 0.000
0.000 8.634 0.002
-3.098 -2.160 6.617
S Ba Pu
6 4 2
direct
0.144 0.072 0.289
0.856 0.928 0.711
0.501 0.750 0.000
0.856 0.428 0.711
0.499 0.250 0.000
0.144 0.572 0.289
0.669 0.585 0.339
0.669 0.085 0.339
0.331 0.915 0.661
0.331 0.415 0.661
0.000 0.750 0.000
0.000 0.250 0.000
```

---

3.
The following is a PBE-GGA calculation of an optimized crystal structure of SnTe3H, from Alexandria.

Output
Spin magnetization, μB/cell: 0.76
ΔE to the lowest computed polymorph, meV/atom: 409.5

```
SnTe3H
1.0
-3.939 -4.014 -1.363
4.159 -3.300 -2.302
0.819 -2.547 5.131
Te H Sn
3 1 1
direct
0.500 0.000 0.000
0.000 0.000 0.500
0.000 0.500 0.000
0.500 0.500 0.500
0.000 0.000 0.000
```

---

4.
The following is a PBE-GGA calculation of an optimized crystal structure of Zr2Tl, from Alexandria.

Output
Spin magnetization, μB/cell: 0.00

```
Zr2Tl
1.0
5.866 0.000 0.000
-2.933 5.080 0.000
0.000 0.000 9.724
Zr Tl
8 4
direct
0.833 0.167 0.250
0.000 0.000 0.000
0.167 0.833 0.750
0.335 0.167 0.250
0.833 0.665 0.250
0.665 0.833 0.750
0.167 0.335 0.750
0.000 0.000 0.500
0.333 0.667 0.062
0.333 0.667 0.438
0.667 0.333 0.562
0.667 0.333 0.938
```

---

5.
The following is a PBE-GGA calculation of an optimized crystal structure of Hg2AuF, from Alexandria.

Output
Raw formation energy, eV/atom: -0.42
Spin magnetization, μB/cell: 0.00
ΔE to the lowest computed polymorph, meV/atom: 78.0

```
Hg2AuF
1.0
-4.246 -4.656 -3.150
3.580 0.804 -6.014
1.787 -4.482 -3.661
F Hg Au
2 4 2
direct
0.250 0.750 0.500
0.500 0.500 0.000
0.875 0.848 0.750
0.375 0.402 0.750
0.152 0.625 0.250
0.598 0.125 0.250
0.750 0.250 0.500
0.000 0.000 0.000
```

---

6.
The following is a PBE-GGA calculation of an optimized crystal structure of KLa2Fe, from Alexandria.

Output
Spin magnetization, μB/cell: 0.82
ΔE to the lowest computed polymorph, meV/atom: 60.2

```
KLa2Fe
1.0
3.609 0.153 0.000
-0.790 3.524 0.000
0.000 0.000 10.939
Fe La K
1 2 1
direct
0.500 0.500 0.250
0.000 0.000 0.099
0.000 0.000 0.401
0.500 0.500 0.750
```

---

7.
The following is a PBE-GGA calculation of an optimized crystal structure of LiCuRu, from Alexandria.

Output
Spin magnetization, μB/cell: 0.00
ΔE to the lowest computed polymorph, meV/atom: 158.1

```
LiCuRu
1.0
4.593 -0.015 0.013
2.195 4.034 -0.013
-2.858 -2.914 2.105
Li Cu Ru
1 1 1
direct
0.335 0.335 0.000
0.003 0.003 0.000
0.662 0.662 0.000
```

---

8.
The following is a PBE-GGA calculation of an optimized crystal structure of LaPrCl, from Alexandria.

Output
Raw formation energy, eV/atom: -0.95
Spin magnetization, μB/cell: 0.00
ΔE to the lowest computed polymorph, meV/atom: 0.0

```
LaPrCl
1.0
-3.129 5.465 -5.094
-10.166 -4.963 0.919
4.188 4.895 2.678
La Pr Cl
4 4 4
direct
0.000 0.751 0.501
0.500 0.251 0.501
0.000 0.249 0.499
0.500 0.749 0.499
0.250 0.250 0.000
0.750 0.250 0.000
0.250 0.750 0.000
0.750 0.750 0.000
0.749 0.000 0.000
0.249 0.500 0.000
0.751 0.500 0.000
0.251 0.000 0.000
```

---

9.
The following is a PBE-GGA calculation of an optimized crystal structure of ZnInW2, from Alexandria.

Output
Spin magnetization, μB/cell: 0.00
ΔE to the lowest computed polymorph, meV/atom: 230.0

```
ZnInW2
1.0
-0.889 9.257 -1.829
-2.384 9.150 0.659
0.506 9.438 0.712
W In Zn
2 1 1
direct
0.504 0.504 0.504
0.996 0.996 0.996
0.750 0.750 0.750
0.250 0.250 0.250
```

---

10.
The following is a PBE-GGA calculation of an optimized crystal structure of Hf2NbBiH, from Alexandria.

Output
Spin magnetization, μB/cell: 0.00

```
Hf2NbBiH
1.0
4.657 0.000 0.000
0.000 4.657 0.000
0.000 0.000 4.014
Nb H Bi Hf
1 1 1 2
direct
0.000 0.000 0.500
0.000 0.000 0.000
0.500 0.500 0.500
0.000 0.500 0.000
0.500 0.000 0.000
```

---

11.
The following is a PBE-GGA calculation of an optimized crystal structure of Ca3MgCu2, from Alexandria.

Output
Spin magnetization, μB/cell: 0.00
ΔE to the lowest computed polymorph, meV/atom: 416.7

```
Ca3MgCu2
1.0
8.673 0.000 0.000
-4.337 7.514 0.000
0.000 0.000 6.184
Cu Ca Mg
4 6 2
direct
0.333 0.666 0.561
0.333 0.666 0.939
0.667 0.334 0.061
0.667 0.334 0.439
0.191 0.809 0.250
0.617 0.809 0.250
0.191 0.383 0.250
0.809 0.617 0.750
0.383 0.191 0.750
0.809 0.191 0.750
0.000 0.000 0.500
0.000 0.000 0.000
```

---

12.
The following is a PBE-GGA calculation of an optimized crystal structure of Y2FeCl2, from Alexandria.

Output
Raw formation energy, eV/atom: -0.52
Spin magnetization, μB/cell: 0.00
ΔE to the lowest computed polymorph, meV/atom: 0.0

```
Y2FeCl2
1.0
4.045 0.000 0.000
0.000 4.045 0.000
2.022 2.022 7.094
Y Cl Fe
2 2 1
direct
0.614 0.614 0.772
0.386 0.386 0.228
0.250 0.750 0.500
0.750 0.250 0.500
0.000 0.000 0.000
```

---

Number 1: DFT total energy -11.7 eV for the cell shown. Number 2: DFT total energy -83.4 eV for the cell shown. Number 3: DFT total energy -12.4 eV for the cell shown. Number 4: DFT total energy -74.3 eV for the cell shown. Number 5: DFT total energy -14.9 eV for the cell shown. Number 6: DFT total energy -18.5 eV for the cell shown. Number 7: DFT total energy -14.5 eV for the cell shown. Number 8: DFT total energy -57.7 eV for the cell shown. Number 9: DFT total energy -27.6 eV for the cell shown. Number 10: DFT total energy -37.8 eV for the cell shown. Number 11: DFT total energy -27.7 eV for the cell shown. Number 12: DFT total energy -27.7 eV for the cell shown.